Pm4CdNi | GGA-PBE | optimized geometry

a b c (Å): 9.796 9.796 9.796
angles (deg): 60.00 60.00 60.00
Fractional coordinates of all 24 atoms:
Ni: 0.178 0.607 0.607
Ni: 0.607 0.607 0.607
Ni: 0.607 0.178 0.607
Ni: 0.607 0.607 0.178
Pm: 0.187 0.187 0.813
Pm: 0.402 0.402 0.402
Pm: 0.813 0.187 0.813
Pm: 0.402 0.794 0.402
Pm: 0.794 0.402 0.402
Pm: 0.941 0.559 0.559
Pm: 0.187 0.813 0.187
Pm: 0.813 0.813 0.187
Pm: 0.941 0.559 0.941
Pm: 0.941 0.941 0.559
Pm: 0.559 0.941 0.559
Pm: 0.402 0.402 0.794
Pm: 0.559 0.941 0.941
Pm: 0.559 0.559 0.941
Pm: 0.813 0.187 0.187
Pm: 0.187 0.813 0.813
Cd: 0.170 0.491 0.170
Cd: 0.491 0.170 0.170
Cd: 0.170 0.170 0.170
Cd: 0.170 0.170 0.491

Computed properties:
energy above the lowest structure with this stoichiometry = 0.000 eV/atom
ΔE_f = -255 meV per atom
M_tot = 0.000 μB per atom
DOS(E_F) = 0.82 states/eV/atom

***

PmCd4Ni | GGA-PBE | optimized geometry

a b c (Å): 4.294 7.303 8.373
angles (deg): 90.00 90.00 90.00
Fractional coordinates of all 12 atoms:
Pm: 0.000 0.405 0.250
Pm: 0.000 0.595 0.750
Cd: 0.500 0.057 0.250
Cd: 0.500 0.309 0.941
Cd: 0.500 0.943 0.750
Cd: 0.500 0.691 0.059
Cd: 0.500 0.691 0.441
Cd: 0.000 0.000 0.000
Cd: 0.000 0.000 0.500
Cd: 0.500 0.309 0.559
Ni: 0.000 0.783 0.250
Ni: 0.000 0.217 0.750

Computed properties:
energy above the lowest structure with this stoichiometry = 0.000 eV/atom
ΔE_f = -214 meV per atom
M_tot = 0.000 μB per atom
DOS(E_F) = 0.66 states/eV/atom

***

PmCdNi4 | GGA-PBE | optimized geometry

a b c (Å): 5.030 5.030 5.030
angles (deg): 60.00 60.00 60.00
Fractional coordinates of all 6 atoms:
Cd: 0.000 0.000 0.000
Ni: 0.626 0.122 0.626
Ni: 0.626 0.626 0.626
Ni: 0.122 0.626 0.626
Ni: 0.626 0.626 0.122
Pm: 0.250 0.250 0.250

Computed properties:
ΔE_f = -299 meV per atom
M_tot = 0.009 μB per atom
DOS(E_F) = 1.46 states/eV/atom

***

Pm2CdNi | GGA-PBE | optimized geometry

a b c (Å): 3.548 3.548 7.776
angles (deg): 90.00 90.00 90.00
Fractional coordinates of all 4 atoms:
Pm: 0.000 0.000 0.214
Pm: 0.000 0.000 0.786
Ni: 0.500 0.500 0.000
Cd: 0.500 0.500 0.500

Computed properties:
energy above the lowest structure with this stoichiometry = 0.000 eV/atom
ΔE_f = -291 meV per atom
M_tot = 0.000 μB per atom
DOS(E_F) = 0.74 states/eV/atom

***

Pm3CdNi3 | GGA-PBE | optimized geometry

a b c (Å): 5.490 8.583 8.583
angles (deg): 120.00 90.00 90.00
Fractional coordinates of all 14 atoms:
Ni: 0.750 0.320 0.358
Ni: 0.250 0.358 0.038
Ni: 0.750 0.642 0.962
Ni: 0.250 0.680 0.642
Ni: 0.750 0.038 0.680
Ni: 0.250 0.962 0.320
Pm: 0.250 0.050 0.696
Pm: 0.250 0.304 0.354
Pm: 0.750 0.696 0.646
Pm: 0.250 0.646 0.950
Pm: 0.750 0.354 0.050
Pm: 0.750 0.950 0.304
Cd: 0.250 0.667 0.333
Cd: 0.750 0.333 0.667

Computed properties:
ΔE_f = -74 meV per atom
M_tot = 0.000 μB per atom
DOS(E_F) = 0.64 states/eV/atom

***

PmPrCdNi | GGA-PBE | optimized geometry

a b c (Å): 5.227 5.227 5.227
angles (deg): 60.00 60.00 60.00
Fractional coordinates of all 4 atoms:
Ni: 0.250 0.250 0.250
Pr: 0.500 0.500 0.500
Cd: 0.750 0.750 0.750
Pm: 0.000 0.000 0.000

Computed properties:
ΔE_f = -178 meV per atom
M_tot = 0.000 μB per atom
DOS(E_F) = 0.89 states/eV/atom

***

Pm2CdNi4Sb3 | GGA-PBE | optimized geometry

a b c (Å): 4.379 4.379 10.260
angles (deg): 90.00 90.00 90.00
Fractional coordinates of all 10 atoms:
Ni: 0.000 0.500 0.368
Ni: 0.500 0.000 0.632
Ni: 0.500 0.500 0.000
Ni: 0.000 0.000 0.000
Sb: 0.000 0.000 0.500
Sb: 0.500 0.000 0.872
Sb: 0.000 0.500 0.128
Pm: 0.500 0.000 0.237
Pm: 0.000 0.500 0.763
Cd: 0.500 0.500 0.500

Computed properties:
M_tot = 0.000 μB per atom
DOS(E_F) = 0.57 states/eV/atom
ΔE_f (raw) = -562 kJ/mol of formula units

***

PmScCdNi | GGA-PBE | optimized geometry

a b c (Å): 4.993 4.993 4.993
angles (deg): 60.00 60.00 60.00
Fractional coordinates of all 4 atoms:
Sc: 0.000 0.000 0.000
Pm: 0.500 0.500 0.500
Cd: 0.750 0.750 0.750
Ni: 0.250 0.250 0.250

Computed properties:
ΔE_f = -200 meV per atom
M_tot = 0.000 μB per atom
DOS(E_F) = 0.95 states/eV/atom

***

- The highest M_tot belongs to which entry?
  PmCdNi4

***

Copy entry 8 word for word.
PmScCdNi | GGA-PBE | optimized geometry

a b c (Å): 4.993 4.993 4.993
angles (deg): 60.00 60.00 60.00
Fractional coordinates of all 4 atoms:
Sc: 0.000 0.000 0.000
Pm: 0.500 0.500 0.500
Cd: 0.750 0.750 0.750
Ni: 0.250 0.250 0.250

Computed properties:
ΔE_f = -200 meV per atom
M_tot = 0.000 μB per atom
DOS(E_F) = 0.95 states/eV/atom